Record 1
## LiSmTmTe3 (PBE)

Data for LiSmTmTe3 after structural relaxation.

Cell: 7.5677 7.5677 12.2588 Å, 90.00 90.00 146.18°
Positions (direct):
Li 0.2482 0.7518 0.7500
Li 0.7518 0.2482 0.2500
Sm 0.5000 0.5000 0.0000
Sm 0.5000 0.5000 0.5000
Tm 0.0299 0.9701 0.2500
Tm 0.9701 0.0299 0.7500
Te 0.1489 0.8511 0.0638
Te 0.1489 0.8511 0.4362
Te 0.3964 0.6036 0.2500
Te 0.6036 0.3964 0.7500
Te 0.8511 0.1489 0.5638
Te 0.8511 0.1489 0.9362

Values from the calculation:
total energy = -4.463 eV per atom
M_tot = 0.01 μB/atom
space group = No. 63

***

Record 2
## Ta7Re5 (PBE)

Data for Ta7Re5 after structural relaxation.

Cell: 5.2724 5.2724 17.2680 Å, 90.00 90.00 120.00°
Positions (direct):
Ta 0.1641 0.3282 0.2500
Ta 0.1641 0.8359 0.2500
Ta 0.3282 0.1641 0.7500
Ta 0.3333 0.6667 0.1189
Ta 0.3333 0.6667 0.3811
Ta 0.3333 0.6667 0.6497
Ta 0.3333 0.6667 0.8503
Ta 0.6667 0.3333 0.1497
Ta 0.6667 0.3333 0.3503
Ta 0.6667 0.3333 0.6189
Ta 0.6667 0.3333 0.8811
Ta 0.6718 0.8359 0.2500
Ta 0.8359 0.1641 0.7500
Ta 0.8359 0.6718 0.7500
Re 0.0000 0.0000 0.0951
Re 0.0000 0.0000 0.4049
Re 0.0000 0.0000 0.5951
Re 0.0000 0.0000 0.9049
Re 0.0000 0.5000 0.0000
Re 0.0000 0.5000 0.5000
Re 0.5000 0.0000 0.0000
Re 0.5000 0.0000 0.5000
Re 0.5000 0.5000 0.0000
Re 0.5000 0.5000 0.5000

Values from the calculation:
total energy = -11.870 eV per atom
excess energy over the best structure of this formula in the dataset = 0.289 eV per atom
ΔE_f = 2.6 eV/f.u.
M_tot = 0.00 μB/atom
space group = No. 194

***

Record 3
## AlRe5 (PBE)

Data for AlRe5 after structural relaxation.

Cell: 5.1529 5.1529 16.4818 Å, 90.00 90.00 120.00°
Positions (direct):
Al 0.0000 0.0000 0.0935
Al 0.0000 0.0000 0.4065
Al 0.0000 0.0000 0.5935
Al 0.0000 0.0000 0.9065
Re 0.0000 0.5000 0.0000
Re 0.0000 0.5000 0.5000
Re 0.1584 0.3167 0.2500
Re 0.1584 0.8416 0.2500
Re 0.3167 0.1584 0.7500
Re 0.3333 0.6667 0.1277
Re 0.3333 0.6667 0.3723
Re 0.3333 0.6667 0.6602
Re 0.3333 0.6667 0.8398
Re 0.5000 0.0000 0.0000
Re 0.5000 0.0000 0.5000
Re 0.5000 0.5000 0.0000
Re 0.5000 0.5000 0.5000
Re 0.6667 0.3333 0.1602
Re 0.6667 0.3333 0.3398
Re 0.6667 0.3333 0.6277
Re 0.6667 0.3333 0.8723
Re 0.6833 0.8416 0.2500
Re 0.8416 0.1584 0.7500
Re 0.8416 0.6833 0.7500

Values from the calculation:
total energy = -10.658 eV per atom
excess energy over the best structure of this formula in the dataset = 0.059 eV per atom
M_tot = 0.00 μB/atom
space group = No. 194

***

Record 4
## AcThW (PBE)

Data for AcThW after structural relaxation.

Cell: 7.2735 7.2735 7.2735 Å, 90.00 90.00 90.00°
Positions (direct):
Ac 0.0000 0.0000 0.0000
Ac 0.0000 0.5000 0.5000
Ac 0.5000 0.0000 0.5000
Ac 0.5000 0.5000 0.0000
Th 0.2500 0.2500 0.2500
Th 0.2500 0.7500 0.7500
Th 0.7500 0.2500 0.7500
Th 0.7500 0.7500 0.2500
W 0.0000 0.0000 0.5000
W 0.0000 0.5000 0.0000
W 0.5000 0.0000 0.0000
W 0.5000 0.5000 0.5000

Values from the calculation:
total energy = -6.692 eV per atom
ΔE_f = 4.4 eV/f.u.
M_tot = 0.33 μB/atom
space group = No. 216

***

Record 5
## IrSe4Br (PBE)

Data for IrSe4Br after structural relaxation.

Cell: 6.9696 7.7974 7.8353 Å, 61.52 64.27 78.86°
Positions (direct):
Ir 0.2240 0.0501 0.4890
Ir 0.7760 0.9499 0.5110
Se 0.0162 0.2604 0.2609
Se 0.1530 0.8273 0.3662
Se 0.3890 0.8864 0.7567
Se 0.4169 0.3611 0.3381
Se 0.5831 0.6389 0.6619
Se 0.6110 0.1136 0.2433
Se 0.8470 0.1727 0.6338
Se 0.9838 0.7396 0.7392
Br 0.2233 0.2514 0.8784
Br 0.7767 0.7486 0.1216

Values from the calculation:
total energy = -4.120 eV per atom
M_tot = 0.00 μB/atom
space group = No. 2

***

Record 6
## TaTlNO (PBE)

Data for TaTlNO after structural relaxation.

Cell: 5.9985 7.9291 5.2636 Å, 90.00 90.00 90.00°
Positions (direct):
Ta 0.1247 0.0090 0.0000
Ta 0.3753 0.0090 0.5000
Ta 0.6247 0.9910 0.0000
Ta 0.8753 0.9910 0.5000
Tl 0.0877 0.6020 0.9357
Tl 0.4123 0.6020 0.4357
Tl 0.5877 0.3980 0.9357
Tl 0.9123 0.3980 0.4357
N 0.1242 0.8544 0.6754
N 0.3758 0.8544 0.1754
N 0.6242 0.1456 0.6754
N 0.8758 0.1456 0.1754
O 0.1225 0.1615 0.6652
O 0.3775 0.1615 0.1652
O 0.6225 0.8385 0.6652
O 0.8775 0.8385 0.1652

Values from the calculation:
total energy = -7.917 eV per atom
excess energy over the best structure of this formula in the dataset = 0.025 eV per atom
M_tot = 0.10 μB/atom
space group = No. 29

***

Record 7
## HgBiSb2 (PBE)

Data for HgBiSb2 after structural relaxation.

Cell: 7.6397 7.6397 7.6397 Å, 90.00 90.00 90.00°
Positions (direct):
Hg 0.0000 0.0000 0.0000
Hg 0.0000 0.5000 0.5000
Hg 0.5000 0.0000 0.5000
Hg 0.5000 0.5000 0.0000
Bi 0.2500 0.2500 0.7500
Bi 0.2500 0.7500 0.2500
Bi 0.7500 0.2500 0.2500
Bi 0.7500 0.7500 0.7500
Sb 0.0000 0.0000 0.5000
Sb 0.0000 0.5000 0.0000
Sb 0.2500 0.2500 0.2500
Sb 0.2500 0.7500 0.7500
Sb 0.5000 0.0000 0.0000
Sb 0.5000 0.5000 0.5000
Sb 0.7500 0.2500 0.7500
Sb 0.7500 0.7500 0.2500

Values from the calculation:
total energy = -2.957 eV per atom
space group = No. 216

***

Record 8
## NdAl3Pb2O8 (PBE)

Data for NdAl3Pb2O8 after structural relaxation.

Cell: 9.5207 9.5207 9.5207 Å, 90.00 90.00 90.00°
Positions (direct):
Nd 0.0000 0.0000 0.0000
Nd 0.0000 0.5000 0.5000
Nd 0.5000 0.0000 0.5000
Nd 0.5000 0.5000 0.0000
Al 0.0000 0.2500 0.7500
Al 0.0000 0.7500 0.2500
Al 0.2500 0.0000 0.7500
Al 0.2500 0.5000 0.7500
Al 0.2500 0.7500 0.0000
Al 0.2500 0.7500 0.5000
Al 0.5000 0.2500 0.7500
Al 0.5000 0.7500 0.2500
Al 0.7500 0.0000 0.2500
Al 0.7500 0.2500 0.0000
Al 0.7500 0.2500 0.5000
Al 0.7500 0.5000 0.2500
Pb 0.1156 0.1156 0.3844
Pb 0.1156 0.3844 0.1156
Pb 0.3844 0.1156 0.1156
Pb 0.3844 0.3844 0.3844
Pb 0.6156 0.6156 0.6156
Pb 0.6156 0.8844 0.8844
Pb 0.8844 0.6156 0.8844
Pb 0.8844 0.8844 0.6156
O 0.0923 0.0923 0.7623
O 0.0923 0.4077 0.7377
O 0.0923 0.7377 0.4077
O 0.0923 0.7623 0.0923
O 0.1409 0.1409 0.1409
O 0.1409 0.3591 0.3591
O 0.2377 0.5923 0.5923
O 0.2377 0.9077 0.9077
O 0.2623 0.5923 0.9077
O 0.2623 0.9077 0.5923
O 0.3591 0.1409 0.3591
O 0.3591 0.3591 0.1409
O 0.4077 0.0923 0.7377
O 0.4077 0.4077 0.7623
O 0.4077 0.7377 0.0923
O 0.4077 0.7623 0.4077
O 0.5923 0.2377 0.5923
O 0.5923 0.2623 0.9077
O 0.5923 0.5923 0.2377
O 0.5923 0.9077 0.2623
O 0.6409 0.6409 0.8591
O 0.6409 0.8591 0.6409
O 0.7377 0.0923 0.4077
O 0.7377 0.4077 0.0923
O 0.7623 0.0923 0.0923
O 0.7623 0.4077 0.4077
O 0.8591 0.6409 0.6409
O 0.8591 0.8591 0.8591
O 0.9077 0.2377 0.9077
O 0.9077 0.2623 0.5923
O 0.9077 0.5923 0.2623
O 0.9077 0.9077 0.2377

Values from the calculation:
total energy = -7.078 eV per atom
M_tot = 0.00 μB/atom
space group = No. 224

***

The highest total energy belongs to which entry?
HgBiSb2